(1)
The following is a DFT calculation (GGA-PBE) of a relaxed Tm5CuBi4 crystal.

Structure (POSCAR):
```
Tm5CuBi4
1.0
6.184 0.000 0.000
3.092 6.884 0.000
3.092 0.000 6.884
Tm Cu Bi
5 1 4
Direct
0.899 0.388 0.815
0.287 0.815 0.612
0.714 0.185 0.388
0.102 0.612 0.185
0.503 0.000 0.000
0.002 0.000 0.000
0.408 0.396 0.789
0.804 0.789 0.604
0.197 0.211 0.396
0.593 0.604 0.211
```

Properties
space-group type = No. 79
crystal system = tetragonal
ρ = 9.9 g cm⁻³
total energy = -4.7266 eV/atom

***

(2)
The following is a DFT calculation (GGA-PBE) of a relaxed Tm3Cu3Bi4 crystal.

Structure (POSCAR):
```
Tm3Cu3Bi4
1.0
7.982 0.000 -2.822
-3.991 6.913 -2.822
0.000 0.000 8.466
Tm Cu Bi
6 6 8
Direct
0.625 0.750 0.875
0.875 0.250 0.625
0.125 0.375 0.250
0.375 0.125 0.750
0.250 0.875 0.125
0.750 0.625 0.375
0.125 0.750 0.375
0.375 0.250 0.125
0.625 0.875 0.250
0.875 0.625 0.750
0.250 0.375 0.625
0.750 0.125 0.875
0.000 0.000 0.333
0.500 0.333 0.500
0.667 0.167 0.167
0.000 0.000 0.833
0.833 0.500 0.000
0.500 0.833 0.500
0.333 0.500 0.000
0.167 0.667 0.667
```

Properties
space-group type = No. 220
crystal system = cubic
ρ = 10.9 g cm⁻³
total energy = -4.5759 eV/atom

***

(3)
The following is a DFT calculation (GGA-PBE) of a relaxed Tm8Cu2Bi crystal.

Structure (POSCAR):
```
Tm8Cu2Bi
1.0
5.374 -0.080 -0.120
-1.001 7.847 -0.149
-1.001 -3.159 7.184
Tm Cu Bi
8 2 1
Direct
0.904 0.919 0.663
0.904 0.663 0.919
0.298 0.601 0.601
0.500 0.753 0.247
0.500 0.247 0.753
0.702 0.399 0.399
0.096 0.337 0.081
0.096 0.081 0.337
0.000 0.305 0.695
0.000 0.695 0.305
0.500 0.000 0.000
```

Properties
space-group type = No. 12
crystal system = monoclinic
ρ = 9.4 g cm⁻³
total energy = -4.4856 eV/atom

***

(4)
The following is a DFT calculation (GGA-PBE) of a relaxed Tm5CuBi crystal.

Structure (POSCAR):
```
Tm5CuBi
1.0
6.463 0.637 -0.380
2.654 5.927 -0.380
3.029 2.181 10.496
Tm Cu Bi
10 2 2
Direct
0.933 0.619 0.141
0.218 0.523 0.545
0.619 0.933 0.641
0.933 0.067 0.250
0.477 0.782 0.955
0.523 0.218 0.045
0.067 0.933 0.750
0.381 0.067 0.359
0.782 0.477 0.455
0.067 0.381 0.859
0.000 0.000 0.000
0.000 0.000 0.500
0.430 0.570 0.250
0.570 0.430 0.750
```

Properties
space-group type = No. 15
crystal system = monoclinic
ρ = 9.4 g cm⁻³
total energy = -4.4527 eV/atom

***

(5)
The following is a DFT calculation (GGA-PBE) of a relaxed Tm8Cu3Bi2 crystal.

Structure (POSCAR):
```
Tm8Cu3Bi2
1.0
6.145 0.000 0.587
0.000 6.789 0.000
-2.037 -3.394 8.253
Tm Cu Bi
8 3 2
Direct
0.781 0.548 0.097
0.219 0.452 0.903
0.833 0.139 0.277
0.167 0.861 0.723
0.661 0.629 0.753
0.661 0.124 0.753
0.339 0.876 0.247
0.339 0.371 0.247
0.500 0.000 0.000
0.000 0.172 0.000
0.000 0.828 0.000
0.258 0.276 0.551
0.742 0.724 0.449
```

Properties
space-group type = No. 12
crystal system = monoclinic
ρ = 9.2 g cm⁻³
total energy = -4.4915 eV/atom

***

(6)
The following is a DFT calculation (GGA-PBE) of a relaxed Tm4CuBi2 crystal.

Structure (POSCAR):
```
Tm4CuBi2
1.0
6.993 0.000 -0.036
0.000 6.458 0.000
-2.609 0.000 8.525
Tm Cu Bi
8 2 4
Direct
0.510 0.499 0.221
0.065 0.750 0.842
0.935 0.250 0.158
0.510 0.001 0.221
0.877 0.250 0.551
0.490 0.999 0.779
0.490 0.501 0.779
0.123 0.750 0.449
0.190 0.750 0.165
0.810 0.250 0.835
0.792 0.750 0.073
0.208 0.250 0.927
0.305 0.250 0.458
0.695 0.750 0.542
```

Properties
space-group type = No. 11
crystal system = monoclinic
ρ = 10.0 g cm⁻³
total energy = -4.6031 eV/atom

***

(7)
The following is a DFT calculation (GGA-PBE) of a relaxed Tm6CuBi3 crystal.

Structure (POSCAR):
```
Tm6CuBi3
1.0
6.508 0.000 0.000
0.000 9.784 -0.765
0.000 -2.929 9.366
Tm Cu Bi
12 2 6
Direct
0.076 0.775 0.630
0.576 0.630 0.775
0.228 0.426 0.898
0.728 0.898 0.426
0.307 0.985 0.015
0.730 0.238 0.762
0.230 0.762 0.238
0.807 0.015 0.985
0.228 0.102 0.574
0.728 0.574 0.102
0.076 0.370 0.225
0.576 0.225 0.370
0.097 0.142 0.858
0.597 0.858 0.142
0.512 0.919 0.713
0.012 0.713 0.919
0.221 0.431 0.569
0.721 0.569 0.431
0.012 0.081 0.287
0.512 0.287 0.081
```

Properties
space-group type = No. 36
crystal system = orthorhombic
ρ = 9.7 g cm⁻³
total energy = -4.5816 eV/atom

***

(8)
The following is a DFT calculation (GGA-PBE) of a relaxed UCuBi crystal.

Structure (POSCAR):
```
UCuBi
1.0
-2.345 -1.722 -2.209
-1.405 -1.769 2.871
-6.123 6.803 1.195
U Bi Cu
2 2 2
Direct
0.000 0.500 0.548
0.500 0.000 0.452
0.000 0.500 0.214
0.500 0.000 0.786
0.500 0.000 0.078
0.000 0.500 0.922
```

Properties
space-group type = No. 129
crystal system = tetragonal
ρ = 13.8 g cm⁻³
total energy = -6.2495 eV/atom

***

(9)
The following is a DFT calculation (GGA-PBE) of a relaxed V3CuBi crystal.

Structure (POSCAR):
```
V3CuBi
1.0
-1.436 -0.233 4.327
-1.002 -4.417 -0.570
4.216 -1.129 1.338
Bi Cu V
1 1 3
Direct
0.500 0.500 0.500
0.000 0.000 0.000
0.000 0.500 0.000
0.000 0.000 0.500
0.500 0.000 0.000
```

Properties
ΔE to the lowest computed polymorph = 0 meV/atom
space-group type = No. 221
crystal system = cubic
ρ = 7.4 g cm⁻³
total energy = -6.1170 eV/atom

***

(10)
The following is a DFT calculation (GGA-PBE) of a relaxed VCuBi crystal.

Structure (POSCAR):
```
VCuBi
1.0
3.954 0.000 0.000
0.000 3.954 0.000
0.000 0.000 7.029
Bi Cu V
2 2 2
Direct
0.000 0.500 0.183
0.500 0.000 0.817
0.000 0.500 0.745
0.500 0.000 0.255
0.000 0.000 0.500
0.500 0.500 0.500
```

Properties
ΔE to the lowest computed polymorph = 0 meV/atom
space-group type = No. 129
crystal system = tetragonal
ρ = 9.8 g cm⁻³
total energy = -5.5711 eV/atom

***

(11)
The following is a DFT calculation (GGA-PBE) of a relaxed V2CuBi crystal.

Structure (POSCAR):
```
V2CuBi
1.0
3.770 0.000 0.000
0.000 3.770 0.000
1.885 1.885 9.847
Bi Cu V
2 2 4
Direct
0.000 0.000 0.000
0.750 0.250 0.500
0.500 0.500 0.000
0.250 0.750 0.500
0.618 0.125 0.250
0.132 0.625 0.250
0.375 0.382 0.750
0.875 0.868 0.750
```

Properties
space-group type = No. 122
crystal system = tetragonal
ρ = 8.9 g cm⁻³
total energy = -5.8657 eV/atom

***

(12)
The following is a DFT calculation (GGA-PBE) of a relaxed V2CuBi2 crystal.

Structure (POSCAR):
```
V2CuBi2
1.0
4.623 0.000 0.000
0.000 4.623 0.000
2.311 2.311 5.296
Bi Cu V
2 1 2
Direct
0.750 0.250 0.500
0.250 0.750 0.500
0.000 0.000 0.000
0.413 0.413 0.174
0.587 0.587 0.826
```

Properties
ΔE to the lowest computed polymorph = 371 meV/atom
space-group type = No. 139
crystal system = tetragonal
ρ = 8.6 g cm⁻³
total energy = -5.2155 eV/atom